[1]
# PrZn4Ru

PrZn4Ru after structural relaxation (PBE, Alexandria).

Lattice parameters (Å, degrees): 5.2281 5.2281 5.2281 60.00 60.00 60.00
Fractional coordinates of all 6 atoms:
Zn 0.6270 0.6270 0.1190
Zn 0.6270 0.1190 0.6270
Zn 0.1190 0.6270 0.6270
Zn 0.6270 0.6270 0.6270
Ru 0.0000 0.0000 0.0000
Pr 0.2500 0.2500 0.2500

Energy of formation from the pure elements: -203 meV per atom
E above lowest polymorph: 0.591 kcal/mol of atoms
SG: F-43m
Magnetization: 0.00 μB per formula unit

[2]
# Pr3ZnRu3

Pr3ZnRu3 after structural relaxation (PBE, Alexandria).

Lattice parameters (Å, degrees): 4.4270 5.7489 13.5231 90.00 90.00 112.65
Fractional coordinates of all 14 atoms:
Pr 0.2081 0.4163 0.8963
Pr 0.7919 0.5837 0.1037
Pr 0.7919 0.5837 0.3963
Pr 0.5010 0.0021 0.2500
Pr 0.2081 0.4163 0.6037
Pr 0.4990 0.9979 0.7500
Ru 0.2022 0.4045 0.2500
Ru 0.9220 0.8439 0.5928
Ru 0.9220 0.8439 0.9072
Ru 0.0780 0.1561 0.4072
Ru 0.0780 0.1561 0.0928
Ru 0.7978 0.5955 0.7500
Zn 0.5000 0.0000 0.5000
Zn 0.5000 0.0000 0.0000

Energy of formation from the pure elements: -195 meV per atom
SG: Cmcm
Magnetization: 0.00 μB per formula unit

[3]
# Pr2Zn3Ru2

Pr2Zn3Ru2 after structural relaxation (PBE, Alexandria).

Lattice parameters (Å, degrees): 4.3086 5.7616 6.6998 91.07 90.00 111.96
Fractional coordinates of all 7 atoms:
Zn 0.6323 0.2646 0.1887
Zn 0.3677 0.7354 0.8113
Zn 0.0000 0.0000 0.0000
Pr 0.6492 0.2983 0.6841
Pr 0.3508 0.7017 0.3159
Ru 0.0670 0.1341 0.3611
Ru 0.9330 0.8659 0.6389

Energy of formation from the pure elements: -202 meV per atom
E above lowest polymorph: 1.082 kcal/mol of atoms
SG: C2/m
Magnetization: 0.00 μB per formula unit

[4]
# Pr3Zn4Ru2

Pr3Zn4Ru2 after structural relaxation (PBE, Alexandria).

Lattice parameters (Å, degrees): 4.6738 5.5694 8.5317 103.69 90.00 114.81
Fractional coordinates of all 9 atoms:
Pr 0.3640 0.7279 0.3108
Pr 0.6360 0.2721 0.6892
Pr 0.0000 0.0000 0.0000
Zn 0.2864 0.5728 0.9238
Zn 0.0895 0.1790 0.4039
Zn 0.7136 0.4272 0.0762
Zn 0.9105 0.8210 0.5961
Ru 0.6778 0.3557 0.3584
Ru 0.3222 0.6443 0.6416

Energy of formation from the pure elements: -227 meV per atom
E above lowest polymorph: 0.863 kcal/mol of atoms
SG: C2/m
Magnetization: 0.00 μB per formula unit

[5]
# Pr3ZnRu

Pr3ZnRu after structural relaxation (PBE, Alexandria).

Lattice parameters (Å, degrees): 6.0292 6.0292 8.6733 102.09 102.09 113.41
Fractional coordinates of all 10 atoms:
Pr 0.3045 0.8045 0.1090
Pr 0.0819 0.2069 0.2888
Pr 0.7069 0.5820 0.2888
Pr 0.6955 0.1955 0.8910
Pr 0.9181 0.7931 0.7112
Pr 0.2931 0.4180 0.7112
Ru 0.2500 0.2500 0.0000
Ru 0.7500 0.7500 0.0000
Zn 0.3085 0.8085 0.5000
Zn 0.6915 0.1915 0.5000

Energy of formation from the pure elements: -215 meV per atom
E above lowest polymorph: 0.000 kcal/mol of atoms
SG: Fmmm
Magnetization: 0.00 μB per formula unit

[6]
# PrZr4Ru5

PrZr4Ru5 after structural relaxation (PBE, Alexandria).

Lattice parameters (Å, degrees): 3.3047 3.3047 16.9309 90.00 90.00 90.00
Fractional coordinates of all 10 atoms:
Ru 0.5000 0.5000 0.5000
Ru 0.5000 0.5000 0.1209
Ru 0.5000 0.5000 0.8791
Ru 0.5000 0.5000 0.3092
Ru 0.5000 0.5000 0.6908
Pr 0.0000 0.0000 0.0000
Zr 0.0000 0.0000 0.2082
Zr 0.0000 0.0000 0.7918
Zr 0.0000 0.0000 0.4029
Zr 0.0000 0.0000 0.5971

Energy of formation from the pure elements: -517 meV per atom
SG: P4/mmm
Magnetization: 0.00 μB per formula unit

[7]
# Pr5S6

Pr5S6 after structural relaxation (PBE, Alexandria).

Lattice parameters (Å, degrees): 7.1235 7.1069 7.0697 80.37 70.51 59.92
Fractional coordinates of all 11 atoms:
S 0.5794 0.3363 0.2531
S 0.9156 0.6637 0.2531
S 0.0844 0.3363 0.7469
S 0.7482 0.0000 0.7540
S 0.2518 0.0000 0.2460
S 0.4206 0.6637 0.7469
Pr 0.3342 0.3316 0.0000
Pr 0.8382 0.3237 0.5000
Pr 0.5000 0.0000 0.5000
Pr 0.6658 0.6684 0.0000
Pr 0.1618 0.6763 0.5000

VASP energy: -6.46 eV per atom
SG: C2/m
Magnetization: 0.00 μB per formula unit

[8]
# PrS5

PrS5 after structural relaxation (PBE, Alexandria).

Lattice parameters (Å, degrees): 5.5463 4.0170 10.0986 96.41 90.00 133.66
Fractional coordinates of all 6 atoms:
S 0.2463 0.4927 0.0144
S 0.6488 0.2976 0.3275
S 0.4225 0.8450 0.6797
S 0.7549 0.5099 0.7422
S 0.9925 0.9850 0.3378
Pr 0.7683 0.5365 0.0651

VASP energy: -4.80 eV per atom
SG: Cm
Magnetization: 0.00 μB per formula unit

[9]
# PrS4

PrS4 after structural relaxation (PBE, Alexandria).

Lattice parameters (Å, degrees): 4.9872 5.2545 5.2545 76.98 61.67 61.67
Fractional coordinates of all 5 atoms:
S 0.7527 0.7527 0.7419
S 0.4946 0.2581 0.7527
S 0.5054 0.7419 0.2473
S 0.2473 0.2473 0.2581
Pr 0.0000 0.0000 0.0000

E above lowest polymorph: 0.000 kcal/mol of atoms
SG: I4/m
Magnetization: 0.00 μB per formula unit

[10]
# PrS2

PrS2 after structural relaxation (PBE, Alexandria).

Lattice parameters (Å, degrees): 4.0815 8.1204 8.1991 89.89 90.00 90.00
Fractional coordinates of all 12 atoms:
Pr 0.7110 0.3707 0.2759
Pr 0.2890 0.6293 0.7241
Pr 0.7890 0.8707 0.2759
Pr 0.2110 0.1293 0.7241
S 0.1545 0.3927 0.0026
S 0.3455 0.8927 0.0026
S 0.7389 0.3745 0.6331
S 0.7611 0.8745 0.6331
S 0.8455 0.6073 0.9974
S 0.2389 0.1255 0.3669
S 0.2611 0.6255 0.3669
S 0.6545 0.1073 0.9974

VASP energy: -6.09 eV per atom
SG: P2_1/c
Magnetization: 0.00 μB per formula unit

[11]
# Pr4S5

Pr4S5 after structural relaxation (PBE, Alexandria).

Lattice parameters (Å, degrees): 3.6443 9.3132 9.3132 87.81 78.72 78.72
Site moments in Bohr magnetons follow the coordinates.
Fractional coordinates of all 9 atoms:
S 0.0000 0.0000 0.0000  0.00
S 0.7522 0.2478 0.2478  -0.01
S 0.0000 0.2478 0.7522  -0.01
S 0.2478 0.7522 0.7522  -0.01
S 0.0000 0.7522 0.2478  -0.01
Pr 0.3607 0.2786 0.0000  0.15
Pr 0.6393 0.0000 0.7214  0.15
Pr 0.3607 0.0000 0.2786  0.15
Pr 0.6393 0.7214 0.0000  0.15

VASP energy: -5.70 eV per atom
SG: I4/mmm
Magnetization: 1.63 μB per formula unit

[12]
# Pr5S8

Pr5S8 after structural relaxation (PBE, Alexandria).

Lattice parameters (Å, degrees): 8.4570 8.4570 8.4570 60.00 60.00 60.00
Site moments in Bohr magnetons follow the coordinates.
Fractional coordinates of all 13 atoms:
S 0.1168 0.1168 0.6496  0.03
S 0.1168 0.1168 0.1168  0.03
S 0.1168 0.6496 0.1168  0.03
S 0.6496 0.1168 0.1168  0.03
S 0.6375 0.0874 0.6375  0.12
S 0.6375 0.6375 0.0874  0.12
S 0.0874 0.6375 0.6375  0.12
S 0.6375 0.6375 0.6375  0.12
Pr 0.2500 0.2500 0.2500  0.01
Pr 0.8715 0.8715 0.8715  0.00
Pr 0.8715 0.3856 0.8715  0.00
Pr 0.8715 0.8715 0.3856  0.00
Pr 0.3856 0.8715 0.8715  0.00

VASP energy: -6.13 eV per atom
SG: F-43m
Magnetization: 1.00 μB per formula unit

[13]
# Pr5S9

Pr5S9 after structural relaxation (PBE, Alexandria).

Lattice parameters (Å, degrees): 12.1955 12.1955 10.0149 82.21 82.21 26.47
Site moments in Bohr magnetons follow the coordinates.
Fractional coordinates of all 28 atoms:
S 0.5750 0.4711 0.8231  0.00
S 0.3154 0.2460 0.5789  0.00
S 0.4612 0.9165 0.1257  0.00
S 0.8857 0.2887 0.3291  0.00
S 0.6364 0.9741 0.8888  0.00
S 0.1356 0.0170 0.9870  0.00
S 0.7540 0.6846 0.4211  0.00
S 0.7998 0.2002 0.5000  0.14
S 0.7113 0.1143 0.6709  0.00
S 0.5289 0.4250 0.1769  0.00
S 0.0259 0.3636 0.1112  0.00
S 0.1760 0.0737 0.6275  0.00
S 0.9263 0.8240 0.3725  0.00
S 0.3743 0.2705 0.2122  0.00
S 0.9830 0.8644 0.0130  0.00
S 0.0835 0.5388 0.8743  0.00
S 0.2990 0.7010 0.5000  0.16
S 0.7295 0.6257 0.7878  0.00
Pr 0.8518 0.7486 0.1551  0.00
Pr 0.6588 0.5319 0.0419  0.00
Pr 0.0593 0.9538 0.7641  0.00
Pr 0.8306 0.7630 0.6259  0.00
Pr 0.2370 0.1694 0.3741  0.00
Pr 0.4449 0.3484 0.4257  0.00
Pr 0.2514 0.1482 0.8449  0.00
Pr 0.4681 0.3412 0.9581  0.00
Pr 0.6516 0.5551 0.5743  0.00
Pr 0.0462 0.9407 0.2359  0.00

VASP energy: -6.16 eV per atom
SG: C2
Magnetization: 0.24 μB per formula unit

[14]
# Pr4S3

Pr4S3 after structural relaxation (PBE, Alexandria).

Lattice parameters (Å, degrees): 4.0621 4.0621 13.5409 81.37 81.37 60.00
Fractional coordinates of all 7 atoms:
S 0.0000 0.0000 0.0000
S 0.2483 0.2483 0.2551
S 0.7517 0.7517 0.7449
Pr 0.6225 0.6225 0.1325
Pr 0.8736 0.8736 0.3791
Pr 0.1264 0.1264 0.6209
Pr 0.3775 0.3775 0.8675

VASP energy: -6.19 eV per atom
SG: R-3m
Magnetization: 0.00 μB per formula unit

[15]
# PrS3

PrS3 after structural relaxation (PBE, Alexandria).

Lattice parameters (Å, degrees): 5.7969 5.7969 5.6832 90.00 90.00 120.00
Fractional coordinates of all 8 atoms:
S 0.1763 0.3526 0.2500
S 0.6474 0.8237 0.2500
S 0.8237 0.6474 0.7500
S 0.1763 0.8237 0.2500
S 0.8237 0.1763 0.7500
S 0.3526 0.1763 0.7500
Pr 0.6667 0.3333 0.2500
Pr 0.3333 0.6667 0.7500

VASP energy: -5.10 eV per atom
SG: P6_3/mmc
Magnetization: 0.00 μB per formula unit

[16]
# PrS2

PrS2 after structural relaxation (PBE, Alexandria).

Lattice parameters (Å, degrees): 4.1034 8.0866 16.3683 90.00 90.00 90.00
Fractional coordinates of all 24 atoms:
Pr 0.2183 0.1288 0.3880
Pr 0.2817 0.6288 0.3880
Pr 0.7183 0.3712 0.8880
Pr 0.7817 0.8712 0.6120
Pr 0.7817 0.8712 0.8880
Pr 0.2183 0.1288 0.1120
Pr 0.7183 0.3712 0.6120
Pr 0.2817 0.6288 0.1120
S 0.7589 0.8747 0.0665
S 0.2589 0.6253 0.9335
S 0.2411 0.1253 0.9335
S 0.7411 0.3747 0.0665
S 0.8355 0.6009 0.2500
S 0.6645 0.1009 0.2500
S 0.7589 0.8747 0.4335
S 0.2589 0.6253 0.5665
S 0.2411 0.1253 0.5665
S 0.3563 0.8907 0.2500
S 0.8563 0.6093 0.7500
S 0.1645 0.3991 0.7500
S 0.1437 0.3907 0.2500
S 0.3355 0.8991 0.7500
S 0.7411 0.3747 0.4335
S 0.6437 0.1093 0.7500

VASP energy: -6.09 eV per atom
SG: Pnma
Magnetization: 0.00 μB per formula unit

[17]
# PrS2

PrS2 after structural relaxation (PBE, Alexandria).

Lattice parameters (Å, degrees): 5.1697 7.3446 7.7933 90.00 90.00 90.00
Fractional coordinates of all 12 atoms:
S 0.2500 0.8947 0.6102
S 0.2500 0.1053 0.1102
S 0.7500 0.1053 0.3898
S 0.5000 0.4456 0.7500
S 0.7500 0.8947 0.8898
S 0.0000 0.5544 0.2500
S 0.0000 0.4456 0.7500
S 0.5000 0.5544 0.2500
Pr 0.2500 0.2439 0.4563
Pr 0.2500 0.7561 0.9563
Pr 0.7500 0.7561 0.5437
Pr 0.7500 0.2439 0.0437

VASP energy: -6.00 eV per atom
SG: Pbcm
Magnetization: 0.00 μB per formula unit

[18]
# PrS4

PrS4 after structural relaxation (PBE, Alexandria).

Lattice parameters (Å, degrees): 5.5897 5.5897 5.5897 90.00 90.00 90.00
Site moments in Bohr magnetons follow the coordinates.
Fractional coordinates of all 5 atoms:
S 0.0000 0.0000 0.0000  1.25
S 0.5000 0.0000 0.5000  0.61
S 0.5000 0.5000 0.0000  0.61
S 0.0000 0.5000 0.5000  0.61
Pr 0.5000 0.5000 0.5000  -0.04

E above lowest polymorph: 17.024 kcal/mol of atoms
SG: Pm-3m
Magnetization: 5.01 μB per formula unit

[19]
# Pr3S2

Pr3S2 after structural relaxation (PBE, Alexandria).

Lattice parameters (Å, degrees): 7.0639 7.0639 7.7650 62.94 62.94 60.00
Fractional coordinates of all 10 atoms:
S 0.1629 0.1629 0.5112
S 0.8371 0.8371 0.4888
S 0.3371 0.3371 0.9888
S 0.6629 0.6629 0.0112
Pr 0.2500 0.5802 0.2500
Pr 0.5802 0.9198 0.2500
Pr 0.7500 0.4198 0.7500
Pr 0.4198 0.0802 0.7500
Pr 0.0802 0.7500 0.7500
Pr 0.9198 0.2500 0.2500

VASP energy: -6.05 eV per atom
SG: R-3c
Magnetization: 0.00 μB per formula unit

[20]
# Pr5SbS4

Pr5SbS4 after structural relaxation (PBE, Alexandria).

Lattice parameters (Å, degrees): 4.1895 7.2837 9.4090 75.03 77.14 73.29
Fractional coordinates of all 10 atoms:
S 0.4054 0.7925 0.3968
S 0.7961 0.6147 0.7931
S 0.2039 0.3853 0.2069
S 0.5946 0.2075 0.6032
Pr 0.7942 0.0971 0.3146
Pr 0.6083 0.6730 0.1105
Pr 0.3917 0.3270 0.8895
Pr 0.2058 0.9029 0.6854
Pr 0.0000 0.5000 0.5000
Sb 0.0000 0.0000 0.0000

VASP energy: -6.28 eV per atom
SG: C2/m
Magnetization: 0.00 μB per formula unit